# Pm2BiF3 PBE relaxed
data_Pm2BiF3
_chemical_formula_sum 'Pm8 Bi4 F12'
_cell_length_a 15.3674
_cell_length_b 4.1216
_cell_length_c 8.0787
_cell_angle_alpha 90.00
_cell_angle_beta 114.30
_cell_angle_gamma 90.00
_symmetry_space_group_name_H-M 'C 1 2/m 1'
_symmetry_Int_Tables_number 12
loop_
_symmetry_equiv_pos_as_xyz
'x,y,z'
'-x,-y,-z'
'-x,y,-z'
'x,-y,z'
'x+1/2,y+1/2,z'
'-x+1/2,-y+1/2,-z'
'-x+1/2,y+1/2,-z'
'x+1/2,-y+1/2,z'
loop_
_atom_site_label
_atom_site_type_symbol
_atom_site_fract_x
_atom_site_fract_y
_atom_site_fract_z
Pm1 Pm 0.0274 0.0000 0.2466
Pm2 Pm 0.1983 0.5000 0.6877
Bi1 Bi 0.1360 0.5000 0.0459
F1 F 0.0609 0.5000 0.4092
F2 F 0.0992 0.0000 0.6555
F3 F 0.1916 0.0000 0.4568
# ΔE_f (raw) = -2.945 eV/atom
# Energy = -6.1107 eV/atom